Entry 1:
Crystalline BaLi2Pm2Si2 at its relaxed geometry. Source: the Alexandria database, functional PBE.

Unit cell a=4.717 b=4.717 c=9.964 alpha=76.31 beta=76.31 gamma=60.00
Fractional coordinates of all 7 atoms:
1 Ba 0.000 0.000 0.000
2 Li 0.582 0.582 0.253
3 Li 0.418 0.418 0.747
4 Pm 0.131 0.131 0.608
5 Pm 0.869 0.869 0.392
6 Si 0.753 0.753 0.742
7 Si 0.247 0.247 0.258

Properties
Magnetization: 0.0 μB/f.u.
Energy: -4.0931 eV per atom
Symmetry: R-3m

---

Entry 2:
Crystalline Ba4Sm at its relaxed geometry. Source: the Alexandria database, functional PBE.

Unit cell a=6.715 b=6.715 c=6.715 alpha=90.00 beta=90.00 gamma=90.00
Fractional coordinates of all 5 atoms:
1 Ba 0.000 0.000 0.000
2 Ba 0.500 0.000 0.500
3 Ba 0.000 0.500 0.500
4 Ba 0.500 0.500 0.000
5 Sm 0.500 0.500 0.500

Properties
Magnetization: 0.0 μB/f.u.
Energy: -2.0670 eV per atom
Energy of formation from the pure elements: 0.415 eV per atom
Symmetry: Pm-3m

---

Entry 3:
Crystalline Tl2InHg2Te2 at its relaxed geometry. Source: the Alexandria database, functional PBE.

Unit cell a=4.405 b=7.200 c=8.038 alpha=79.73 beta=74.10 gamma=72.19
Fractional coordinates of all 7 atoms:
1 Tl 0.151 0.264 0.434
2 Tl 0.849 0.736 0.566
3 In 0.000 0.000 0.000
4 Hg 0.271 0.588 0.870
5 Hg 0.729 0.412 0.130
6 Te 0.559 0.150 0.732
7 Te 0.441 0.850 0.268

Properties
Magnetization: 0.0 μB/f.u.
Energy: -2.2256 eV per atom
Symmetry: C2/m

---

Entry 4:
Crystalline TbNdCuAg at its relaxed geometry. Source: the Alexandria database, functional PBE.

Unit cell a=3.602 b=3.602 c=7.324 alpha=90.00 beta=90.00 gamma=90.00
Fractional coordinates of all 4 atoms:
1 Tb 0.000 0.000 0.371
2 Nd 0.000 0.000 0.844
3 Cu 0.500 0.500 0.589
4 Ag 0.500 0.500 0.124

Properties
Distance to the lowest polymorph of the same formula: 0.0 meV/atom
Magnetization: 0.0 μB/f.u.
Energy: -4.3254 eV per atom
Energy of formation from the pure elements: -0.239 eV per atom
Symmetry: P4mm

---

Entry 5:
Crystalline LaPaCrN4 at its relaxed geometry. Source: the Alexandria database, functional PBE.

Unit cell a=5.782 b=5.427 c=6.948 alpha=90.00 beta=107.52 gamma=90.00
Fractional coordinates of all 14 atoms:
1 La 0.702 0.750 0.921
2 La 0.298 0.250 0.079
3 Pa 0.774 0.750 0.443
4 Pa 0.226 0.250 0.557
5 Cr 0.238 0.750 0.315
6 Cr 0.762 0.250 0.685
7 N 0.973 0.496 0.713
8 N 0.027 0.996 0.287
9 N 0.027 0.504 0.287
10 N 0.973 0.004 0.713
11 N 0.442 0.750 0.155
12 N 0.558 0.250 0.845
13 N 0.437 0.750 0.570
14 N 0.563 0.250 0.430

Properties
Magnetization: 1.9 μB/f.u.
Energy: -9.3007 eV per atom
Symmetry: P2_1/m

---

Entry 6:
Crystalline K2PaTeS5 at its relaxed geometry. Source: the Alexandria database, functional PBE.

Unit cell a=4.226 b=10.636 c=12.351 alpha=90.00 beta=90.00 gamma=101.46
Fractional coordinates of all 18 atoms:
1 K 0.875 0.749 0.812
2 K 0.127 0.254 0.707
3 K 0.125 0.251 0.312
4 K 0.873 0.746 0.207
5 Pa 0.775 0.550 0.507
6 Pa 0.225 0.450 0.007
7 Te 0.523 0.047 0.977
8 Te 0.477 0.953 0.477
9 S 0.344 0.689 0.010
10 S 0.714 0.428 0.874
11 S 0.506 0.012 0.791
12 S 0.289 0.577 0.640
13 S 0.913 0.827 0.506
14 S 0.656 0.311 0.510
15 S 0.286 0.572 0.374
16 S 0.494 0.988 0.291
17 S 0.711 0.423 0.140
18 S 0.087 0.173 0.006

Properties
Magnetization: 0.2 μB/f.u.
Energy: -4.9677 eV per atom
Symmetry: Cmc2_1

---

Entry 7:
Crystalline VMoPt at its relaxed geometry. Source: the Alexandria database, functional PBE.

Unit cell a=4.834 b=8.262 c=4.741 alpha=90.00 beta=108.64 gamma=90.00
Fractional coordinates of all 12 atoms:
1 Mo 0.000 0.835 0.000
2 Mo 0.000 0.165 0.000
3 Mo 0.000 0.335 0.500
4 Mo 0.000 0.665 0.500
5 Pt 0.500 0.835 0.500
6 Pt 0.500 0.165 0.500
7 Pt 0.500 0.335 0.000
8 Pt 0.500 0.665 0.000
9 V 0.000 0.500 0.000
10 V 0.000 0.000 0.500
11 V 0.500 0.500 0.500
12 V 0.500 0.000 0.000

Properties
Distance to the lowest polymorph of the same formula: 75.6 meV/atom
Magnetization: 0.0 μB/f.u.
Energy: -8.8682 eV per atom
Energy of formation from the pure elements: -0.205 eV per atom
Symmetry: C2/m

---

Entry 8:
Crystalline Zn2CrW at its relaxed geometry. Source: the Alexandria database, functional PBE.

Unit cell a=2.714 b=2.714 c=8.006 alpha=90.00 beta=90.00 gamma=90.00
Fractional coordinates of all 4 atoms:
1 Cr 0.500 0.500 0.250
2 W 0.500 0.500 0.750
3 Zn 0.000 0.000 0.009
4 Zn 0.000 0.000 0.491

Properties
Distance to the lowest polymorph of the same formula: 170.9 meV/atom
Magnetization: 3.0 μB/f.u.
Energy: -5.9314 eV per atom
Energy of formation from the pure elements: 0.350 eV per atom
Symmetry: P4/mmm